1.
{"formula": "Dy2Si3Pt4Rh", "functional": "GGA-PBE", "state": "optimized geometry", "cell": [[4.052, 0.000, 0.000], [0.000, 4.052, 0.000], [0.000, 0.000, 10.744]], "species": ["Dy", "Dy", "Pt", "Pt", "Pt", "Pt", "Si", "Si", "Si", "Rh"], "frac_coords": [[0.500, 0.000, 0.254], [0.000, 0.500, 0.746], [0.500, 0.000, 0.654], [0.000, 0.500, 0.346], [0.500, 0.500, 0.000], [0.000, 0.000, 0.000], [0.500, 0.000, 0.869], [0.000, 0.000, 0.500], [0.000, 0.500, 0.131], [0.500, 0.500, 0.500]]}



2.
{"formula": "DySi2PtRh2", "functional": "GGA-PBE", "state": "optimized geometry", "cell": [[4.508, 0.000, 0.000], [0.000, 4.508, 0.000], [0.000, 0.000, 5.529]], "species": ["Rh", "Rh", "Dy", "Pt", "Si", "Si"], "frac_coords": [[0.500, 0.500, 0.252], [0.500, 0.500, 0.748], [0.000, 0.000, 0.500], [0.000, 0.000, 0.000], [0.000, 0.500, 0.000], [0.500, 0.000, 0.000]]}



How do the records compare in total magnetization? In the order shown, they have 0.000, 0.000 μB/f.u..
How do the records compare in formation energy without anion corrections? In the order shown, they have -0.9579, -0.3763 eV/atom.
How do the records compare in final energy? In the order shown, they have -6.657, -6.408 eV per atom.